! DyNbSO2 (PBE, relaxed); values from VASP
! **Symmetry**: P3m1 (156)
&SYSTEM
  ibrav = 0, nat = 5, ntyp = 4
/
ATOMIC_SPECIES
S 32.06 S.upf
O 16.00 O.upf
Dy 162.50 Dy.upf
Nb 92.91 Nb.upf
CELL_PARAMETERS angstrom
-1.551 -2.724 1.908
2.533 -0.754 -2.546
4.509 0.475 4.344
ATOMIC_POSITIONS angstrom
S 5.568 -0.947 3.175
O 2.905 0.306 2.799
O 1.500 -1.889 2.051
Dy 1.266 0.133 1.220
Nb 3.078 -1.723 3.572


! LiNbCl6 (PBE, relaxed); values from VASP
! **Symmetry**: R-3 (148)
&SYSTEM
  ibrav = 0, nat = 8, ntyp = 3
/
ATOMIC_SPECIES
Cl 35.45 Cl.upf
Nb 92.91 Nb.upf
Li 6.94 Li.upf
CELL_PARAMETERS angstrom
-6.067 1.506 2.326
-1.202 3.999 5.201
-2.848 6.018 -0.400
ATOMIC_POSITIONS angstrom
Cl -3.550 4.135 4.882
Cl -6.983 5.202 5.190
Cl -3.135 6.321 1.937
Cl -4.239 7.669 5.096
Cl -5.879 3.854 2.031
Cl -6.567 7.388 2.245
Nb 0.000 0.000 0.000
Li -5.059 5.762 3.563


! SmTlHgTe3 (PBE, relaxed); values from VASP
! **Symmetry**: C2/m (12)
&SYSTEM
  ibrav = 0, nat = 12, ntyp = 4
/
ATOMIC_SPECIES
Tl 204.38 Tl.upf
Te 127.60 Te.upf
Hg 200.59 Hg.upf
Sm 150.36 Sm.upf
CELL_PARAMETERS angstrom
-1.395 -1.790 -9.858
0.970 -5.327 -8.545
-7.835 -3.786 3.914
ATOMIC_POSITIONS angstrom
Tl -3.667 -7.771 -14.323
Tl -4.592 -3.133 -0.167
Te -4.130 -5.452 -7.245
Te 0.000 0.000 0.000
Te -1.240 -2.901 -5.581
Te -2.852 -6.125 -11.357
Te -7.020 -8.003 -8.909
Te -5.407 -4.779 -3.133
Hg -1.969 -4.673 -9.037
Hg -6.290 -6.231 -5.453
Sm -7.488 -9.332 -11.645
Sm -0.772 -1.572 -2.844


! SiNi2As (PBE, relaxed); values from VASP
! **Symmetry**: Pbca (61)
&SYSTEM
  ibrav = 0, nat = 32, ntyp = 3
/
ATOMIC_SPECIES
As 74.92 As.upf
Ni 58.69 Ni.upf
Si 28.09 Si.upf
CELL_PARAMETERS angstrom
6.034 0.000 0.000
0.000 5.099 0.000
0.000 0.000 13.961
ATOMIC_POSITIONS angstrom
As 5.612 4.150 2.554
As 3.439 0.949 9.535
As 2.595 3.499 11.407
As 2.595 4.150 4.426
As 5.612 3.499 9.535
As 0.422 1.600 4.426
As 3.439 1.600 2.554
As 0.422 0.949 11.407
Ni 4.855 2.600 0.795
Ni 4.855 5.049 7.776
Ni 1.190 2.462 2.332
Ni 1.190 0.088 9.312
Ni 1.827 2.637 9.312
Ni 4.208 2.462 4.649
Ni 4.196 2.499 7.776
Ni 1.827 5.011 2.332
Ni 4.844 5.011 4.649
Ni 1.179 2.499 13.166
Ni 1.179 0.050 6.185
Ni 4.196 0.050 0.795
Ni 4.844 2.637 11.629
Ni 4.208 0.088 11.629
Ni 1.838 5.049 13.166
Ni 1.838 2.600 6.185
Si 2.598 3.468 0.806
Si 0.419 0.918 0.806
Si 3.436 0.918 6.174
Si 2.598 4.181 7.787
Si 5.615 4.181 13.155
Si 3.436 1.631 13.155
Si 5.615 3.468 6.174
Si 0.419 1.631 7.787


! Ho3Ir (PBE, relaxed); values from VASP
! **Symmetry**: Pnma (62)
&SYSTEM
  ibrav = 0, nat = 16, ntyp = 2
/
ATOMIC_SPECIES
Ho 164.93 Ho.upf
Ir 192.22 Ir.upf
CELL_PARAMETERS angstrom
-0.494 5.799 -4.239
-8.294 -2.827 -2.902
-2.737 3.205 4.703
ATOMIC_POSITIONS angstrom
Ho -10.201 1.876 -0.196
Ho -6.912 5.337 -1.959
Ho -1.324 4.301 -2.241
Ho -1.503 1.900 0.610
Ho -7.091 2.936 0.891
Ho -4.434 3.241 -3.328
Ho -7.457 1.758 -2.422
Ho -4.069 4.418 -0.015
Ho -4.465 2.272 3.209
Ho -7.060 3.904 -5.647
Ho -10.022 4.277 -3.047
Ho -4.613 0.840 -0.478
Ir -2.395 1.668 -2.121
Ir -7.779 0.316 -0.095
Ir -9.131 4.509 -0.316
Ir -3.746 5.860 -2.343


! AlCuSn2 (PBE, relaxed); values from VASP
! **Symmetry**: F-43m (216)
&SYSTEM
  ibrav = 0, nat = 4, ntyp = 3
/
ATOMIC_SPECIES
Sn 118.71 Sn.upf
Cu 63.55 Cu.upf
Al 26.98 Al.upf
CELL_PARAMETERS angstrom
1.037 -2.959 3.841
2.371 1.815 3.958
-2.416 0.570 4.292
ATOMIC_POSITIONS angstrom
Sn 0.744 -0.431 9.067
Sn 0.000 0.000 0.000
Cu 0.248 -0.144 3.022
Al 0.496 -0.287 6.045


! SmCuTe3Pb (PBE, relaxed); values from VASP
! **Symmetry**: Pnma (62)
&SYSTEM
  ibrav = 0, nat = 24, ntyp = 4
/
ATOMIC_SPECIES
Cu 63.55 Cu.upf
Te 127.60 Te.upf
Sm 150.36 Sm.upf
Pb 207.20 Pb.upf
CELL_PARAMETERS angstrom
-6.456 8.390 -4.386
-0.971 -2.514 -3.379
-11.622 -5.181 7.195
ATOMIC_POSITIONS angstrom
Cu -14.208 1.705 1.433
Cu -4.841 -1.010 -2.003
Cu -10.290 -2.183 3.199
Cu -8.759 2.877 -3.769
Te -5.622 -0.380 0.516
Te -12.114 -3.974 2.292
Te -14.523 -0.350 3.052
Te -2.342 -2.042 -1.954
Te -7.782 -2.978 3.070
Te -11.267 3.673 -3.640
Te -10.250 -0.018 1.578
Te -13.427 1.074 -1.086
Te -8.798 0.713 -2.148
Te -6.935 4.669 -2.862
Te -16.707 2.737 1.384
Te -4.526 1.044 -3.622
Sm -6.152 2.141 -1.207
Sm -12.897 -1.447 0.637
Sm -9.565 6.253 -3.285
Sm -9.483 -5.559 2.715
Pb -17.277 -0.475 1.173
Pb -8.455 -2.176 -0.098
Pb -10.594 2.870 -0.472
Pb -1.772 1.169 -1.743


! Zn4In3 (PBE, relaxed); values from VASP
! **Symmetry**: P6_3/m (176)
&SYSTEM
  ibrav = 0, nat = 14, ntyp = 2
/
ATOMIC_SPECIES
In 114.82 In.upf
Zn 65.41 Zn.upf
CELL_PARAMETERS angstrom
5.332 6.157 0.000
-2.666 7.696 0.000
0.000 0.000 5.022
ATOMIC_POSITIONS angstrom
In -1.072 7.607 2.511
In 1.792 9.439 2.511
In 2.850 7.785 0.000
In -0.015 5.953 0.000
In -0.169 9.350 0.000
In 1.947 6.042 2.511
Zn 1.594 3.162 2.511
Zn 4.608 7.813 2.511
Zn 1.777 12.314 2.511
Zn 5.168 6.040 0.000
Zn 0.000 3.079 0.000
Zn -0.870 4.417 2.511
Zn 2.849 4.534 0.000
Zn 2.647 10.975 0.000


Number 1: uncorrected energy -8.0038 eV/atom. Number 2: uncorrected energy -4.2102 eV/atom. Number 3: uncorrected energy -3.4615 eV/atom. Number 4: uncorrected energy -5.6993 eV/atom. Number 5: uncorrected energy -6.2459 eV/atom. Number 6: uncorrected energy -3.5653 eV/atom. Number 7: uncorrected energy -4.3211 eV/atom. Number 8: uncorrected energy -1.7668 eV/atom.